# 1
# TaMo2Ir, PBEsol geometry, DFT meta-GGA SCAN
# - Total DFT energy (no corrections): -51.875 eV per atom
# - SG: Fm-3m (225)
# - DOS at the Fermi energy: 18.5 states/eV per cell
data_TaMo2Ir
_cell_length_a 6.2856
_cell_length_b 6.2856
_cell_length_c 6.2856
_cell_angle_alpha 90.00
_cell_angle_beta 90.00
_cell_angle_gamma 90.00
_space_group_name_H-M_alt 'P 1'
_space_group_IT_number 1
_space_group_name_Hall 'P 1'
loop_
_atom_site_label
_atom_site_type_symbol
_atom_site_fract_x
_atom_site_fract_y
_atom_site_fract_z
Ta1 Ta 0.0000 0.0000 0.0000
Ta2 Ta 0.0000 0.5000 0.5000
Ta3 Ta 0.5000 0.0000 0.5000
Ta4 Ta 0.5000 0.5000 0.0000
Mo1 Mo 0.2500 0.2500 0.2500
Mo2 Mo 0.2500 0.2500 0.7500
Mo3 Mo 0.2500 0.7500 0.2500
Mo4 Mo 0.2500 0.7500 0.7500
Mo5 Mo 0.7500 0.2500 0.2500
Mo6 Mo 0.7500 0.2500 0.7500
Mo7 Mo 0.7500 0.7500 0.2500
Mo8 Mo 0.7500 0.7500 0.7500
Ir1 Ir 0.0000 0.0000 0.5000
Ir2 Ir 0.0000 0.5000 0.0000
Ir3 Ir 0.5000 0.0000 0.0000
Ir4 Ir 0.5000 0.5000 0.5000


# 2
# MnTcBr2, PBEsol geometry, DFT meta-GGA SCAN
# - Total DFT energy (no corrections): -22.577 eV per atom
# - ΔE_f (raw): 0.48 eV per atom
# - SG: Pmmm (47)
# - DOS at the Fermi energy: 2.4 states/eV per cell
data_MnTcBr2
_cell_length_a 3.1398
_cell_length_b 4.2006
_cell_length_c 5.8304
_cell_angle_alpha 90.00
_cell_angle_beta 90.00
_cell_angle_gamma 90.00
_space_group_name_H-M_alt 'P 1'
_space_group_IT_number 1
_space_group_name_Hall 'P 1'
loop_
_atom_site_label
_atom_site_type_symbol
_atom_site_fract_x
_atom_site_fract_y
_atom_site_fract_z
Mn1 Mn 0.0000 0.0000 0.0000
Tc1 Tc 0.5000 0.0000 0.5000
Br1 Br 0.0000 0.5000 0.5000
Br2 Br 0.5000 0.5000 0.0000


# 3
# BaNbCr2Ni, PBEsol geometry, DFT meta-GGA SCAN
# - Total DFT energy (no corrections): -24.227 eV per atom
# - SG: P4/mmm (123)
# - DOS at the Fermi energy: 4.3 states/eV per cell
data_BaNbCr2Ni
_cell_length_a 4.7651
_cell_length_b 4.7651
_cell_length_c 4.8516
_cell_angle_alpha 90.00
_cell_angle_beta 90.00
_cell_angle_gamma 90.00
_space_group_name_H-M_alt 'P 1'
_space_group_IT_number 1
_space_group_name_Hall 'P 1'
loop_
_atom_site_label
_atom_site_type_symbol
_atom_site_fract_x
_atom_site_fract_y
_atom_site_fract_z
Ba1 Ba 0.0000 0.0000 0.0000
Nb1 Nb 0.5000 0.5000 0.5000
Cr1 Cr 0.0000 0.5000 0.5000
Cr2 Cr 0.5000 0.0000 0.5000
Ni1 Ni 0.5000 0.5000 0.0000


# 4
# TaP2AuCl, PBEsol geometry, DFT meta-GGA SCAN
# - Total DFT energy (no corrections): -32.567 eV per atom
# - ΔE_f (raw): 0.34 eV per atom
# - SG: P4/mmm (123)
# - DOS at the Fermi energy: 2.1 states/eV per cell
data_TaP2AuCl
_cell_length_a 4.8170
_cell_length_b 4.8170
_cell_length_c 4.6170
_cell_angle_alpha 90.00
_cell_angle_beta 90.00
_cell_angle_gamma 90.00
_space_group_name_H-M_alt 'P 1'
_space_group_IT_number 1
_space_group_name_Hall 'P 1'
loop_
_atom_site_label
_atom_site_type_symbol
_atom_site_fract_x
_atom_site_fract_y
_atom_site_fract_z
Ta1 Ta 0.0000 0.0000 0.0000
P1 P 0.0000 0.5000 0.0000
P2 P 0.5000 0.0000 0.0000
Au1 Au 0.5000 0.5000 0.5000
Cl1 Cl 0.0000 0.0000 0.5000


# 5
# CrCdAs2Se, PBEsol geometry, DFT meta-GGA SCAN
# - Total DFT energy (no corrections): -21.603 eV per atom
# - ΔE_f (raw): 0.25 eV per atom
# - SG: P4/mmm (123)
# - DOS at the Fermi energy: 2.4 states/eV per cell
data_CrCdAs2Se
_cell_length_a 4.5183
_cell_length_b 4.5183
_cell_length_c 5.1124
_cell_angle_alpha 90.00
_cell_angle_beta 90.00
_cell_angle_gamma 90.00
_space_group_name_H-M_alt 'P 1'
_space_group_IT_number 1
_space_group_name_Hall 'P 1'
loop_
_atom_site_label
_atom_site_type_symbol
_atom_site_fract_x
_atom_site_fract_y
_atom_site_fract_z
Cr1 Cr 0.0000 0.0000 0.0000
Cd1 Cd 0.5000 0.5000 0.5000
As1 As 0.0000 0.5000 0.0000
As2 As 0.5000 0.0000 0.0000
Se1 Se 0.0000 0.0000 0.5000


# 6
# Cr2S3O12, PBEsol geometry, DFT meta-GGA SCAN
# - Total DFT energy (no corrections): -10.125 eV per atom
# - ΔE_f (raw): -1.86 eV per atom
# - SG: R-3 (148)
# - DOS at the Fermi energy: 0.0 states/eV per cell
data_Cr2S3O12
_cell_length_a 8.7010
_cell_length_b 8.7010
_cell_length_c 8.7010
_cell_angle_alpha 55.62
_cell_angle_beta 55.62
_cell_angle_gamma 55.62
_space_group_name_H-M_alt 'P 1'
_space_group_IT_number 1
_space_group_name_Hall 'P 1'
loop_
_atom_site_label
_atom_site_type_symbol
_atom_site_fract_x
_atom_site_fract_y
_atom_site_fract_z
Cr1 Cr 0.1438 0.1438 0.1438
Cr2 Cr 0.3487 0.3487 0.3487
Cr3 Cr 0.6513 0.6513 0.6513
Cr4 Cr 0.8562 0.8562 0.8562
S1 S 0.0371 0.7517 0.4592
S2 S 0.2483 0.5408 0.9629
S3 S 0.4592 0.0371 0.7517
S4 S 0.5408 0.9629 0.2483
S5 S 0.7517 0.4592 0.0371
S6 S 0.9629 0.2483 0.5408
O1 O 0.0134 0.7989 0.6113
O2 O 0.1164 0.7418 0.8750
O3 O 0.1250 0.8836 0.2582
O4 O 0.1595 0.2121 0.5249
O5 O 0.1723 0.5416 0.4866
O6 O 0.2011 0.3887 0.9866
O7 O 0.2121 0.5249 0.1595
O8 O 0.2582 0.1250 0.8836
O9 O 0.3887 0.9866 0.2011
O10 O 0.4584 0.5134 0.8277
O11 O 0.4751 0.8405 0.7879
O12 O 0.4866 0.1723 0.5416
O13 O 0.5134 0.8277 0.4584
O14 O 0.5249 0.1595 0.2121
O15 O 0.5416 0.4866 0.1723
O16 O 0.6113 0.0134 0.7989
O17 O 0.7418 0.8750 0.1164
O18 O 0.7879 0.4751 0.8405
O19 O 0.7989 0.6113 0.0134
O20 O 0.8277 0.4584 0.5134
O21 O 0.8405 0.7879 0.4751
O22 O 0.8750 0.1164 0.7418
O23 O 0.8836 0.2582 0.1250
O24 O 0.9866 0.2011 0.3887


# 7
# Ba3SnP3, PBEsol geometry, DFT meta-GGA SCAN
# - Total DFT energy (no corrections): -27.564 eV per atom
# - SG: P2_1/c (14)
data_Ba3SnP3
_cell_length_a 8.7369
_cell_length_b 12.6541
_cell_length_c 8.5764
_cell_angle_alpha 90.00
_cell_angle_beta 113.95
_cell_angle_gamma 90.00
_space_group_name_H-M_alt 'P 1'
_space_group_IT_number 1
_space_group_name_Hall 'P 1'
loop_
_atom_site_label
_atom_site_type_symbol
_atom_site_fract_x
_atom_site_fract_y
_atom_site_fract_z
Ba1 Ba 0.0023 0.1642 0.0085
Ba2 Ba 0.0023 0.3358 0.5085
Ba3 Ba 0.2307 0.5695 0.1989
Ba4 Ba 0.2307 0.9305 0.6989
Ba5 Ba 0.4415 0.2051 0.8216
Ba6 Ba 0.4415 0.2949 0.3216
Ba7 Ba 0.5585 0.7051 0.6784
Ba8 Ba 0.5585 0.7949 0.1784
Ba9 Ba 0.7693 0.0695 0.3011
Ba10 Ba 0.7693 0.4305 0.8011
Ba11 Ba 0.9977 0.6642 0.4915
Ba12 Ba 0.9977 0.8358 0.9915
Sn1 Sn 0.3348 0.5062 0.8602
Sn2 Sn 0.3348 0.9938 0.3602
Sn3 Sn 0.6652 0.0062 0.6398
Sn4 Sn 0.6652 0.4938 0.1398
P1 P 0.1668 0.1341 0.4323
P2 P 0.1668 0.3659 0.9323
P3 P 0.2560 0.6982 0.8736
P4 P 0.2560 0.8018 0.3736
P5 P 0.3446 0.0297 0.0790
P6 P 0.3446 0.4703 0.5790
P7 P 0.6554 0.5297 0.4210
P8 P 0.6554 0.9703 0.9210
P9 P 0.7440 0.1982 0.6264
P10 P 0.7440 0.3018 0.1264
P11 P 0.8332 0.6341 0.0677
P12 P 0.8332 0.8659 0.5677


# 8
# AgTe2PtC, PBEsol geometry, DFT meta-GGA SCAN
# - Total DFT energy (no corrections): -36.618 eV per atom
# - ΔE_f (raw): 0.61 eV per atom
# - SG: P4/mmm (123)
# - DOS at the Fermi energy: 3.0 states/eV per cell
data_AgTe2PtC
_cell_length_a 5.5290
_cell_length_b 5.5290
_cell_length_c 3.6953
_cell_angle_alpha 90.00
_cell_angle_beta 90.00
_cell_angle_gamma 90.00
_space_group_name_H-M_alt 'P 1'
_space_group_IT_number 1
_space_group_name_Hall 'P 1'
loop_
_atom_site_label
_atom_site_type_symbol
_atom_site_fract_x
_atom_site_fract_y
_atom_site_fract_z
Ag1 Ag 0.0000 0.0000 0.0000
Te1 Te 0.0000 0.5000 0.5000
Te2 Te 0.5000 0.0000 0.5000
Pt1 Pt 0.5000 0.5000 0.5000
C1 C 0.5000 0.5000 0.0000